(1)
CdAu2 | PBE | relaxed

The value obtained for the volume is 23.24 Å³/atom. The calculated density is 12.06 Mg/m³. The formation energy comes out at 70.2 meV per atom.

The structure belongs to space group P4/mmm (No. 123); the cell edges are 4.9297, 4.9297 and 2.8685 Å and the angles 90.00°, 90.00° and 90.00°. The distinct sites, in fractional coordinates, are Cd at (0.0000, 0.0000, 0.0000) and Au at (0.0000, 0.5000, 0.5000).

(2)
CdAu3 | PBE | relaxed

The value obtained for the volume is 18.56 Å³/atom. The calculated density is 15.73 Mg/m³. The formation energy comes out at -142.6 meV per atom.

The structure belongs to space group P6_3/mmc (No. 194); the cell edges are 5.9232, 5.9232 and 4.8872 Å and the angles 90.00°, 90.00° and 120.00°. The distinct sites, in fractional coordinates, are Cd at (0.3333, 0.6667, 0.2500) and Au at (0.1659, 0.3318, 0.7500).